VASP calculation (PBE) on a geometry-optimized HoScGePd structure.

a = 6.8692 Å, b = 6.8692 Å, c = 6.8692 Å
α = 90.00°, β = 90.00°, γ = 90.00°
Space group F-43m (No. 216)
Inequivalent atoms, fractional coordinates:
Ho 0.0000 0.0000 0.0000 (multiplicity 4)
Sc 0.0000 0.0000 0.5000 (multiplicity 4)
Ge 0.2500 0.2500 0.7500 (multiplicity 4)
Pd 0.2500 0.2500 0.2500 (multiplicity 4)

Computed properties:
As for the total DFT energy (no corrections): -5.98 eV/atom. The formation energy is -0.80 eV per atom. The density of states at the Fermi level comes out at 1.9 states/eV/f.u.

---

VASP calculation (PBE) on a geometry-optimized TaGa2CoMo structure.

a = 4.8313 Å, b = 4.8313 Å, c = 4.7577 Å
α = 90.00°, β = 90.00°, γ = 90.00°
Space group P4/mmm (No. 123)
Inequivalent atoms, fractional coordinates:
Ta 0.0000 0.0000 0.0000 (multiplicity 1)
Ga 0.0000 0.5000 0.5000 (multiplicity 2)
Co 0.5000 0.5000 0.0000 (multiplicity 1)
Mo 0.0000 0.0000 0.5000 (multiplicity 1)

Computed properties:
As for the total DFT energy (no corrections): -5.89 eV/atom. The formation energy is 1.27 eV per atom. The density of states at the Fermi level comes out at 7.2 states/eV/f.u.

---

VASP calculation (PBE) on a geometry-optimized Rb2BPF6 structure.

a = 8.6210 Å, b = 8.6210 Å, c = 8.6210 Å
α = 90.00°, β = 90.00°, γ = 90.00°
Space group Fm-3m (No. 225)
Inequivalent atoms, fractional coordinates:
Rb 0.2500 0.2500 0.2500 (multiplicity 8)
B 0.0000 0.0000 0.0000 (multiplicity 4)
P 0.0000 0.0000 0.5000 (multiplicity 4)
F 0.0000 0.0000 0.2706 (multiplicity 24)

Computed properties:
As for the total DFT energy (no corrections): -4.27 eV/atom. The formation energy without anion corrections is -168.2 kJ/mol of atoms. The density of states at the Fermi level comes out at 0.0 states/eV/f.u.

---

VASP calculation (PBE) on a geometry-optimized ZrScCoPt structure.

a = 6.5193 Å, b = 6.5193 Å, c = 6.5193 Å
α = 90.00°, β = 90.00°, γ = 90.00°
Space group F-43m (No. 216)
Inequivalent atoms, fractional coordinates:
Zr 0.0000 0.0000 0.0000 (multiplicity 4)
Sc 0.0000 0.0000 0.5000 (multiplicity 4)
Co 0.2500 0.2500 0.2500 (multiplicity 4)
Pt 0.2500 0.2500 0.7500 (multiplicity 4)

Computed properties:
As for the total DFT energy (no corrections): -7.70 eV/atom. The formation energy is -0.69 eV per atom. The density of states at the Fermi level comes out at 3.1 states/eV/f.u.